Entry 1:
This record from Alexandria via LeMat-Bulk describes an optimized crystal structure of Sr2SiN. The functional is PBE.

The structure in CIF format:
```
data_Sr2SiN
_cell_length_a 6.5511
_cell_length_b 6.5511
_cell_length_c 6.5511
_cell_angle_alpha 110.50
_cell_angle_beta 110.50
_cell_angle_gamma 107.44
_space_group_name_H-M_alt 'P 1'
_space_group_IT_number 1
loop_
_space_group_symop_operation_xyz
'x,y,z'
loop_
_atom_site_label
_atom_site_type_symbol
_atom_site_fract_x
_atom_site_fract_y
_atom_site_fract_z
_atom_site_occupancy
Sr1 Sr 0.0445 0.6250 0.9195 1
Sr2 Sr 0.3750 0.2945 0.4195 1
Sr3 Sr 0.7055 0.1250 0.0805 1
Sr4 Sr 0.8750 0.9555 0.5805 1
Si1 Si 0.2500 0.7500 0.5000 1
Si2 Si 0.5000 0.5000 0.0000 1
N1 N 0.0000 0.0000 0.0000 1
N2 N 0.7500 0.2500 0.5000 1
```

The offset from the most stable computed form comes out at 0.0 meV per atom.



Entry 2:
This record from Alexandria via LeMat-Bulk describes an optimized crystal structure of SrSi2N. The functional is PBE.

The structure in CIF format:
```
data_SrSi2N
_cell_length_a 5.8773
_cell_length_b 5.8773
_cell_length_c 5.8773
_cell_angle_alpha 112.73
_cell_angle_beta 112.73
_cell_angle_gamma 103.13
_space_group_name_H-M_alt 'P 1'
_space_group_IT_number 1
loop_
_space_group_symop_operation_xyz
'x,y,z'
loop_
_atom_site_label
_atom_site_type_symbol
_atom_site_fract_x
_atom_site_fract_y
_atom_site_fract_z
_atom_site_occupancy
Sr1 Sr 0.0000 0.0000 0.0000 1
Sr2 Sr 0.7500 0.2500 0.5000 1
Si1 Si 0.2681 0.6250 0.1431 1
Si2 Si 0.3750 0.5181 0.6431 1
Si3 Si 0.4819 0.1250 0.8569 1
Si4 Si 0.8750 0.7319 0.3569 1
N1 N 0.2500 0.7500 0.5000 1
N2 N 0.5000 0.5000 0.0000 1
```



Entry 3:
This record from Alexandria via LeMat-Bulk describes an optimized crystal structure of Sr3SiN3. The functional is PBE.

The structure in CIF format:
```
data_Sr3SiN3
_cell_length_a 8.2308
_cell_length_b 8.2308
_cell_length_c 9.6574
_cell_angle_alpha 90.00
_cell_angle_beta 90.00
_cell_angle_gamma 60.13
_space_group_name_H-M_alt 'P 1'
_space_group_IT_number 1
loop_
_space_group_symop_operation_xyz
'x,y,z'
loop_
_atom_site_label
_atom_site_type_symbol
_atom_site_fract_x
_atom_site_fract_y
_atom_site_fract_z
_atom_site_occupancy
Sr1 Sr 0.0134 0.6467 0.1251 1
Sr2 Sr 0.1467 0.5134 0.6251 1
Sr3 Sr 0.2094 0.7906 0.8497 1
Sr4 Sr 0.2906 0.7094 0.3497 1
Sr5 Sr 0.3533 0.9866 0.1251 1
Sr6 Sr 0.4866 0.8533 0.6251 1
Sr7 Sr 0.5134 0.1467 0.3749 1
Sr8 Sr 0.6467 0.0134 0.8749 1
Sr9 Sr 0.7094 0.2906 0.6503 1
Sr10 Sr 0.7906 0.2094 0.1503 1
Sr11 Sr 0.8533 0.4866 0.3749 1
Sr12 Sr 0.9866 0.3533 0.8749 1
Si1 Si 0.0898 0.0898 0.5000 1
Si2 Si 0.4102 0.4102 0.0000 1
Si3 Si 0.5898 0.5898 0.0000 1
Si4 Si 0.9102 0.9102 0.5000 1
N1 N 0.0237 0.2890 0.6046 1
N2 N 0.1175 0.8825 0.5924 1
N3 N 0.2110 0.4763 0.8954 1
N4 N 0.2890 0.0237 0.3954 1
N5 N 0.3825 0.6175 0.0924 1
N6 N 0.4763 0.2110 0.1046 1
N7 N 0.5237 0.7890 0.8954 1
N8 N 0.6175 0.3825 0.9076 1
N9 N 0.7110 0.9763 0.6046 1
N10 N 0.7890 0.5237 0.1046 1
N11 N 0.8825 0.1175 0.4076 1
N12 N 0.9763 0.7110 0.3954 1
```



Entry 4:
This record from Alexandria via LeMat-Bulk describes an optimized crystal structure of SrSi7N10. The functional is PBE.

The structure in CIF format:
```
data_SrSi7N10
_cell_length_a 6.8813
_cell_length_b 6.7831
_cell_length_c 9.6819
_cell_angle_alpha 90.00
_cell_angle_beta 106.05
_cell_angle_gamma 90.00
_space_group_name_H-M_alt 'P 1'
_space_group_IT_number 1
loop_
_space_group_symop_operation_xyz
'x,y,z'
loop_
_atom_site_label
_atom_site_type_symbol
_atom_site_fract_x
_atom_site_fract_y
_atom_site_fract_z
_atom_site_occupancy
Sr1 Sr 0.0000 0.0456 0.0000 1
Sr2 Sr 0.0000 0.9544 0.5000 1
Si1 Si 0.1655 0.3946 0.4154 1
Si2 Si 0.1655 0.6054 0.9154 1
Si3 Si 0.3521 0.3805 0.7256 1
Si4 Si 0.3521 0.6195 0.2256 1
Si5 Si 0.4098 0.0266 0.3580 1
Si6 Si 0.4098 0.9734 0.8580 1
Si7 Si 0.5396 0.3709 0.0295 1
Si8 Si 0.5396 0.6291 0.5295 1
Si9 Si 0.5953 0.0260 0.6694 1
Si10 Si 0.5953 0.9740 0.1694 1
Si11 Si 0.7212 0.3656 0.3345 1
Si12 Si 0.7212 0.6344 0.8345 1
Si13 Si 0.9052 0.3760 0.6511 1
Si14 Si 0.9052 0.6240 0.1511 1
N1 N 0.1347 0.4226 0.7801 1
N2 N 0.1347 0.5774 0.2801 1
N3 N 0.2116 0.1649 0.3642 1
N4 N 0.2116 0.8351 0.8642 1
N5 N 0.3423 0.4985 0.5661 1
N6 N 0.3423 0.5015 0.0661 1
N7 N 0.3755 0.1297 0.7065 1
N8 N 0.3755 0.8703 0.2065 1
N9 N 0.5038 0.1175 0.0138 1
N10 N 0.5038 0.8825 0.5138 1
N11 N 0.5541 0.4621 0.8656 1
N12 N 0.5541 0.5379 0.3656 1
N13 N 0.6242 0.1318 0.3184 1
N14 N 0.6242 0.8682 0.8184 1
N15 N 0.7594 0.4164 0.1663 1
N16 N 0.7594 0.5836 0.6663 1
N17 N 0.8045 0.1551 0.6730 1
N18 N 0.8045 0.8449 0.1730 1
N19 N 0.9432 0.3814 0.4745 1
N20 N 0.9432 0.6186 0.9745 1
```



Entry 5:
This record from Alexandria via LeMat-Bulk describes an optimized crystal structure of Sr5SiN6. The functional is PBE.

The structure in CIF format:
```
data_Sr5SiN6
_cell_length_a 6.4123
_cell_length_b 6.4123
_cell_length_c 6.2251
_cell_angle_alpha 98.60
_cell_angle_beta 98.60
_cell_angle_gamma 121.39
_space_group_name_H-M_alt 'P 1'
_space_group_IT_number 1
loop_
_space_group_symop_operation_xyz
'x,y,z'
loop_
_atom_site_label
_atom_site_type_symbol
_atom_site_fract_x
_atom_site_fract_y
_atom_site_fract_z
_atom_site_occupancy
Sr1 Sr 0.0000 0.0000 0.0000 1
Sr2 Sr 0.1722 0.8278 0.5000 1
Sr3 Sr 0.3352 0.6648 0.0000 1
Sr4 Sr 0.6648 0.3352 0.0000 1
Sr5 Sr 0.8278 0.1722 0.5000 1
Si1 Si 0.5000 0.5000 0.5000 1
N1 N 0.0998 0.4143 0.2511 1
N2 N 0.3287 0.3287 0.6688 1
N3 N 0.4143 0.0998 0.2511 1
N4 N 0.5857 0.9002 0.7489 1
N5 N 0.6713 0.6713 0.3312 1
N6 N 0.9002 0.5857 0.7489 1
```



Entry 6:
This record from Alexandria via LeMat-Bulk describes an optimized crystal structure of SrSiN. The functional is PBE.

The structure in CIF format:
```
data_SrSiN
_cell_length_a 9.2439
_cell_length_b 4.4697
_cell_length_c 5.4422
_cell_angle_alpha 90.00
_cell_angle_beta 90.00
_cell_angle_gamma 90.00
_space_group_name_H-M_alt 'P 1'
_space_group_IT_number 1
loop_
_space_group_symop_operation_xyz
'x,y,z'
loop_
_atom_site_label
_atom_site_type_symbol
_atom_site_fract_x
_atom_site_fract_y
_atom_site_fract_z
_atom_site_occupancy
Sr1 Sr 0.1565 0.2500 0.0244 1
Sr2 Sr 0.3435 0.7500 0.5244 1
Sr3 Sr 0.6565 0.2500 0.4756 1
Sr4 Sr 0.8435 0.7500 0.9756 1
Si1 Si 0.0000 0.0000 0.5000 1
Si2 Si 0.0000 0.5000 0.5000 1
Si3 Si 0.5000 0.0000 0.0000 1
Si4 Si 0.5000 0.5000 0.0000 1
N1 N 0.0814 0.7500 0.2537 1
N2 N 0.4186 0.2500 0.7537 1
N3 N 0.5814 0.7500 0.2463 1
N4 N 0.9186 0.2500 0.7463 1
```



Entry 7:
This record from Alexandria via LeMat-Bulk describes an optimized crystal structure of Sr2SiN. The functional is PBE.

The structure in CIF format:
```
data_Sr2SiN
_cell_length_a 5.1105
_cell_length_b 5.1105
_cell_length_c 5.1105
_cell_angle_alpha 60.00
_cell_angle_beta 60.00
_cell_angle_gamma 60.00
_space_group_name_H-M_alt 'P 1'
_space_group_IT_number 1
loop_
_space_group_symop_operation_xyz
'x,y,z'
loop_
_atom_site_label
_atom_site_type_symbol
_atom_site_fract_x
_atom_site_fract_y
_atom_site_fract_z
_atom_site_occupancy
Sr1 Sr 0.2500 0.2500 0.2500 1
Sr2 Sr 0.7500 0.7500 0.7500 1
Si1 Si 0.0000 0.0000 0.0000 1
N1 N 0.5000 0.5000 0.5000 1
```

The offset from the most stable computed form comes out at 305.1 meV per atom.



Entry 8:
This record from Alexandria via LeMat-Bulk describes an optimized crystal structure of Sr3SiN. The functional is PBE.

The structure in CIF format:
```
data_Sr3SiN
_cell_length_a 5.1651
_cell_length_b 5.1651
_cell_length_c 5.1651
_cell_angle_alpha 90.00
_cell_angle_beta 90.00
_cell_angle_gamma 90.00
_space_group_name_H-M_alt 'P 1'
_space_group_IT_number 1
loop_
_space_group_symop_operation_xyz
'x,y,z'
loop_
_atom_site_label
_atom_site_type_symbol
_atom_site_fract_x
_atom_site_fract_y
_atom_site_fract_z
_atom_site_occupancy
Sr1 Sr 0.0000 0.0000 0.5000 1
Sr2 Sr 0.0000 0.5000 0.0000 1
Sr3 Sr 0.5000 0.0000 0.0000 1
Si1 Si 0.5000 0.5000 0.5000 1
N1 N 0.0000 0.0000 0.0000 1
```

The offset from the most stable computed form comes out at 0.0 meV per atom.



Entry 9:
This record from Alexandria via LeMat-Bulk describes an optimized crystal structure of SrSi3N. The functional is PBE.

The structure in CIF format:
```
data_SrSi3N
_cell_length_a 5.5884
_cell_length_b 5.5884
_cell_length_c 5.5884
_cell_angle_alpha 90.00
_cell_angle_beta 90.00
_cell_angle_gamma 90.00
_space_group_name_H-M_alt 'P 1'
_space_group_IT_number 1
loop_
_space_group_symop_operation_xyz
'x,y,z'
loop_
_atom_site_label
_atom_site_type_symbol
_atom_site_fract_x
_atom_site_fract_y
_atom_site_fract_z
_atom_site_occupancy
Sr1 Sr 0.0000 0.0000 0.0000 1
Si1 Si 0.0000 0.0000 0.5000 1
Si2 Si 0.0000 0.5000 0.0000 1
Si3 Si 0.5000 0.0000 0.0000 1
N1 N 0.5000 0.5000 0.5000 1
```

The offset from the most stable computed form comes out at 2383.3 meV per atom.



Entry 10:
This record from Alexandria via LeMat-Bulk describes an optimized crystal structure of Sr2SiN3. The functional is PBE.

The structure in CIF format:
```
data_Sr2SiN3
_cell_length_a 6.0100
_cell_length_b 6.0100
_cell_length_c 4.9193
_cell_angle_alpha 90.00
_cell_angle_beta 90.00
_cell_angle_gamma 72.02
_space_group_name_H-M_alt 'P 1'
_space_group_IT_number 1
loop_
_space_group_symop_operation_xyz
'x,y,z'
loop_
_atom_site_label
_atom_site_type_symbol
_atom_site_fract_x
_atom_site_fract_y
_atom_site_fract_z
_atom_site_occupancy
Sr1 Sr 0.0012 0.3128 0.2500 1
Sr2 Sr 0.3128 0.0012 0.7500 1
Sr3 Sr 0.6872 0.9988 0.2500 1
Sr4 Sr 0.9988 0.6872 0.7500 1
Si1 Si 0.4022 0.5978 0.2500 1
Si2 Si 0.5978 0.4022 0.7500 1
N1 N 0.1565 0.8435 0.2500 1
N2 N 0.3677 0.3677 0.0000 1
N3 N 0.3677 0.3677 0.5000 1
N4 N 0.6323 0.6323 0.0000 1
N5 N 0.6323 0.6323 0.5000 1
N6 N 0.8435 0.1565 0.7500 1
```



Computed energy relative to the elements, uncorrected (meV per atom) in order:
76, 243, -749, -1128, -146, -334, 381, -411, 2941, -647